[1]
Density functional theory data (PBEsol) for a relaxed structure of ZnCd.

Computed properties:
The crystal system is orthorhombic. The calculated density comes out at 8.25 Mg/m³. The formation energy is 0.076 eV/atom. The value obtained for the total energy is -1.314 eV/atom.

extended XYZ file:
```
8
Lattice="4.3696 0.0000 0.0000 0.0000 5.5252 0.0000 0.0000 0.0000 5.9286" Properties=species:S:1:pos:R:3 pbc="T T T"
Cd 1.0924 2.0831 3.7271
Cd 3.2772 4.8457 5.1658
Zn 1.0924 3.4573 0.2822
Zn 1.0924 4.8306 3.2465
Cd 1.0924 0.6795 0.7628
Cd 3.2772 3.4421 2.2015
Zn 3.2772 0.6947 2.6821
Zn 3.2772 2.0680 5.6464
```

---

[2]
Density functional theory data (PBEsol) for a relaxed structure of Li8MnO5F.

Computed properties:
The crystal system is triclinic. The calculated density comes out at 2.73 Mg/m³. As for the uncorrected formation energy: -1.9722 eV/atom. The value obtained for the total energy is -5.550 eV/atom.

extended XYZ file:
```
15
Lattice="-1.2899 0.6352 5.0485 4.7575 -2.1299 -0.6956 1.6336 4.7551 -2.7678" Properties=species:S:1:pos:R:3 pbc="T T T"
O 1.1458 3.6694 1.8784
Li 0.8219 -0.2719 3.3187
Li 2.0042 2.7048 -1.3476
Li 2.5087 0.8566 -0.0862
Mn 4.9565 3.1955 1.4407
Li 2.5605 2.4842 1.6604
O 5.2992 1.7765 -2.1358
Li 0.2827 1.8018 1.8875
O 3.8590 -0.4550 -0.3437
Li 4.3927 3.4114 -1.5627
Li 3.2209 0.6324 2.9693
O -0.2211 1.4407 3.6712
Li 4.7516 1.4313 -0.3528
F 1.8654 0.7099 1.6980
O 3.3610 2.6952 -0.0149
```

---

[3]
Density functional theory data (PBEsol) for a relaxed structure of MnP7.

Computed properties:
The crystal system is cubic. The calculated density comes out at 4.11 Mg/m³. The formation energy is 0.596 eV/atom. The value obtained for the total energy is -5.691 eV/atom.

extended XYZ file:
```
8
Lattice="5.3737 0.0000 0.0000 2.6868 4.6538 0.0000 2.6868 1.5513 4.3876" Properties=species:S:1:pos:R:3 pbc="T T T"
P 1.3434 0.7756 2.1938
P 1.3434 2.3269 0.0000
Mn 0.0000 0.0000 0.0000
P 4.0303 2.3269 0.0000
P 2.6868 3.1025 2.1938
P 5.3737 3.1025 2.1938
P 2.6868 0.0000 0.0000
P 4.0303 0.7756 2.1938
```

---

[4]
Density functional theory data (PBEsol) for a relaxed structure of MnAgSb2.

Computed properties:
The crystal system is trigonal. The calculated density comes out at 7.93 Mg/m³. As for the uncorrected formation energy: 0.3285 eV/atom. The value obtained for the total energy is -5.218 eV/atom.

extended XYZ file:
```
4
Lattice="-2.9393 0.6470 0.9896 -1.3053 -1.7196 2.3188 2.1928 5.8665 7.7491" Properties=species:S:1:pos:R:3 pbc="T T T"
Ag -1.1347 2.2091 5.3282
Mn -0.4528 1.3023 2.8752
Sb -4.0593 -0.7529 3.6497
Sb -1.6753 3.3598 8.0416
```